Record 1
This record from the Alexandria database describes a geometry-optimized PrGd2Er structure. The functional is PBE.

a = 3.604 Å, b = 3.604 Å, c = 10.140 Å
α = 90.00°, β = 90.00°, γ = 90.00°
Fractional positions:
Gd1 0.000 0.000 0.243
Gd2 0.000 0.000 0.757
Er1 0.500 0.500 0.000
Pr1 0.500 0.500 0.500

Computed properties:
V (Å³/f.u.): 131.7
Size of the total moment (μB per formula unit): 14.56
ΔE_f (meV/atom): 29
Theoretical density (g cm⁻³): 7.8
Space group: P4/mmm, No. 123
Polymorph energy (0 for the lowest one) (meV/atom): 8

Record 2
This record from the Alexandria database describes a geometry-optimized PrGdErPu structure. The functional is PBE.

a = 5.650 Å, b = 5.650 Å, c = 5.650 Å
α = 60.00°, β = 60.00°, γ = 60.00°
Fractional positions:
Pr1 0.750 0.750 0.750
Pu1 0.000 0.000 0.000
Er1 0.500 0.500 0.500
Gd1 0.250 0.250 0.250

Computed properties:
V (Å³/f.u.): 127.5
Size of the total moment (μB per formula unit): 14.61
ΔE_f (meV/atom): 199
Theoretical density (g cm⁻³): 9.2
Space group: F-43m, No. 216

Record 3
This record from the Alexandria database describes a geometry-optimized PrGdErSc structure. The functional is PBE.

a = 5.589 Å, b = 5.589 Å, c = 5.589 Å
α = 60.00°, β = 60.00°, γ = 60.00°
Fractional positions:
Gd1 0.250 0.250 0.250
Er1 0.500 0.500 0.500
Sc1 0.000 0.000 0.000
Pr1 0.750 0.750 0.750

Computed properties:
V (Å³/f.u.): 123.5
Size of the total moment (μB per formula unit): 7.33
ΔE_f (meV/atom): 93
Theoretical density (g cm⁻³): 6.9
Space group: F-43m, No. 216

Record 4
This record from the Alexandria database describes a geometry-optimized PrSmGdEr structure. The functional is PBE.

a = 5.745 Å, b = 5.745 Å, c = 5.745 Å
α = 60.00°, β = 60.00°, γ = 60.00°
Fractional positions:
Sm1 0.250 0.250 0.250
Pr1 0.750 0.750 0.750
Er1 0.500 0.500 0.500
Gd1 0.000 0.000 0.000

Computed properties:
V (Å³/f.u.): 134.1
Size of the total moment (μB per formula unit): 8.17
ΔE_f (meV/atom): 111
Theoretical density (g cm⁻³): 7.6
Space group: F-43m, No. 216

Record 5
This record from the Alexandria database describes a geometry-optimized TbPrGdEr structure. The functional is PBE.

a = 5.719 Å, b = 5.719 Å, c = 5.719 Å
α = 60.00°, β = 60.00°, γ = 60.00°
Fractional positions:
Pr1 0.250 0.250 0.250
Tb1 0.000 0.000 0.000
Er1 0.500 0.500 0.500
Gd1 0.750 0.750 0.750

Computed properties:
V (Å³/f.u.): 132.2
Size of the total moment (μB per formula unit): 7.85
ΔE_f (meV/atom): 111
Theoretical density (g cm⁻³): 7.8
Space group: F-43m, No. 216

Record 6
This record from the Alexandria database describes a geometry-optimized PrGdErTh structure. The functional is PBE.

a = 5.712 Å, b = 5.712 Å, c = 5.712 Å
α = 60.00°, β = 60.00°, γ = 60.00°
Fractional positions:
Pr1 0.250 0.250 0.250
Gd1 0.000 0.000 0.000
Th1 0.750 0.750 0.750
Er1 0.500 0.500 0.500

Computed properties:
V (Å³/f.u.): 131.8
Size of the total moment (μB per formula unit): 7.65
ΔE_f (meV/atom): 141
Theoretical density (g cm⁻³): 8.8
Space group: F-43m, No. 216

Record 7
This record from the Alexandria database describes a geometry-optimized PrGdErTl structure. The functional is PBE.

a = 5.544 Å, b = 5.544 Å, c = 5.544 Å
α = 60.00°, β = 60.00°, γ = 60.00°
Fractional positions:
Pr1 0.750 0.750 0.750
Gd1 0.250 0.250 0.250
Er1 0.500 0.500 0.500
Tl1 0.000 0.000 0.000

Computed properties:
V (Å³/f.u.): 120.5
Size of the total moment (μB per formula unit): 8.39
ΔE_f (meV/atom): -79
Theoretical density (g cm⁻³): 9.2
Space group: F-43m, No. 216

Record 8
This record from the Alexandria database describes a geometry-optimized PrGdErTm structure. The functional is PBE.

a = 5.691 Å, b = 5.691 Å, c = 5.691 Å
α = 60.00°, β = 60.00°, γ = 60.00°
Fractional positions:
Gd1 0.500 0.500 0.500
Pr1 0.000 0.000 0.000
Er1 0.750 0.750 0.750
Tm1 0.250 0.250 0.250

Computed properties:
V (Å³/f.u.): 130.3
Size of the total moment (μB per formula unit): 7.51
ΔE_f (meV/atom): 97
Theoretical density (g cm⁻³): 8.1
Space group: F-43m, No. 216

Record 9
This record from the Alexandria database describes a geometry-optimized Gd2ErPt structure. The functional is PBE.

a = 3.730 Å, b = 3.730 Å, c = 10.720 Å
α = 79.98°, β = 79.98°, γ = 60.00°
Fractional positions:
Er1 0.000 0.000 0.000
Pt1 0.500 0.500 0.500
Gd1 0.891 0.891 0.327
Gd2 0.109 0.109 0.673

Computed properties:
V (Å³/f.u.): 126.5
Size of the total moment (μB per formula unit): 15.07
ΔE_f (meV/atom): -275
Theoretical density (g cm⁻³): 8.9
Space group: R-3m, No. 166
Polymorph energy (0 for the lowest one) (meV/atom): 273

Record 10
This record from the Alexandria database describes a geometry-optimized GdErPt2 structure. The functional is PBE.

a = 4.946 Å, b = 4.946 Å, c = 4.946 Å
α = 60.00°, β = 60.00°, γ = 60.00°
Fractional positions:
Pt1 0.250 0.250 0.250
Pt2 0.750 0.750 0.750
Er1 0.000 0.000 0.000
Gd1 0.500 0.500 0.500

Computed properties:
V (Å³/f.u.): 85.6
Size of the total moment (μB per formula unit): 7.16
ΔE_f (meV/atom): -1206
Theoretical density (g cm⁻³): 13.9
Space group: Fm-3m, No. 225
Polymorph energy (0 for the lowest one) (meV/atom): 2

Record 11
This record from the Alexandria database describes a geometry-optimized GdErPt2 structure. The functional is PBE.

a = 3.464 Å, b = 4.964 Å, c = 4.964 Å
α = 90.00°, β = 90.00°, γ = 90.00°
Fractional positions:
Pt1 0.000 0.000 0.500
Pt2 0.000 0.500 0.000
Er1 0.500 0.500 0.500
Gd1 0.500 0.000 0.000

Computed properties:
V (Å³/f.u.): 85.4
Size of the total moment (μB per formula unit): 7.09
ΔE_f (meV/atom): -1208
Theoretical density (g cm⁻³): 13.9
Space group: P4/mmm, No. 123
Polymorph energy (0 for the lowest one) (meV/atom): 0

Record 12
This record from the Alexandria database describes a geometry-optimized GdErPt2 structure. The functional is PBE.

a = 4.069 Å, b = 4.069 Å, c = 7.053 Å
α = 73.24°, β = 73.24°, γ = 60.00°
Fractional positions:
Pt1 0.748 0.748 0.757
Pt2 0.252 0.252 0.243
Er1 0.000 0.000 0.000
Gd1 0.500 0.500 0.500

Computed properties:
V (Å³/f.u.): 95.3
Size of the total moment (μB per formula unit): 7.14
ΔE_f (meV/atom): -1130
Theoretical density (g cm⁻³): 12.4
Space group: R-3m, No. 166
Polymorph energy (0 for the lowest one) (meV/atom): 78

Record 13
This record from the Alexandria database describes a geometry-optimized Gd2ErPt structure. The functional is PBE.

a = 3.611 Å, b = 3.611 Å, c = 8.301 Å
α = 90.00°, β = 90.00°, γ = 90.00°
Fractional positions:
Pt1 0.500 0.500 0.000
Gd1 0.000 0.000 0.801
Gd2 0.000 0.000 0.199
Er1 0.500 0.500 0.500

Computed properties:
V (Å³/f.u.): 108.3
Size of the total moment (μB per formula unit): 14.85
ΔE_f (meV/atom): -548
Theoretical density (g cm⁻³): 10.4
Space group: P4/mmm, No. 123
Polymorph energy (0 for the lowest one) (meV/atom): 0

Record 14
This record from the Alexandria database describes a geometry-optimized GdErRuPt structure. The functional is PBE.

a = 4.870 Å, b = 4.870 Å, c = 4.870 Å
α = 60.00°, β = 60.00°, γ = 60.00°
Fractional positions:
Ru1 0.250 0.250 0.250
Gd1 0.500 0.500 0.500
Er1 0.000 0.000 0.000
Pt1 0.750 0.750 0.750

Computed properties:
V (Å³/f.u.): 81.7
Size of the total moment (μB per formula unit): 6.94
ΔE_f (meV/atom): -773
Theoretical density (g cm⁻³): 12.6
Space group: F-43m, No. 216

Record 15
This record from the Alexandria database describes a geometry-optimized GdErTcPt structure. The functional is PBE.

a = 4.872 Å, b = 4.872 Å, c = 4.872 Å
α = 60.00°, β = 60.00°, γ = 60.00°
Fractional positions:
Gd1 0.500 0.500 0.500
Pt1 0.750 0.750 0.750
Tc1 0.250 0.250 0.250
Er1 0.000 0.000 0.000

Computed properties:
V (Å³/f.u.): 81.8
Size of the total moment (μB per formula unit): 7.04
ΔE_f (meV/atom): -531
Theoretical density (g cm⁻³): 12.5
Space group: F-43m, No. 216

Record 16
This record from the Alexandria database describes a geometry-optimized GdErTlPt structure. The functional is PBE.

a = 5.155 Å, b = 5.155 Å, c = 5.155 Å
α = 60.00°, β = 60.00°, γ = 60.00°
Fractional positions:
Pt1 0.250 0.250 0.250
Er1 0.000 0.000 0.000
Tl1 0.750 0.750 0.750
Gd1 0.500 0.500 0.500

Computed properties:
V (Å³/f.u.): 96.9
Size of the total moment (μB per formula unit): 7.13
ΔE_f (meV/atom): -689
Theoretical density (g cm⁻³): 12.4
Space group: F-43m, No. 216